1.
Here is a relaxed MnFe4Si crystal from Alexandria via LeMat-Bulk. Energies are from GGA-PBE.

Results
crystal system: cubic
energy: -0.2932 hartree per atom
offset from the most stable computed form: 0.0 meV per atom

Lattice parameters (Å, degrees): 4.6459 4.6459 4.6459 60.00 60.00 60.00
With the nearest neighbours (Å) after each atom.
Fractional coordinates of all 6 atoms:
Mn 0.0000 0.0000 0.0000  12 Fe 2.72, 4 Si 2.85
Fe 0.1251 0.6250 0.6250  6 Fe 2.32
Fe 0.6250 0.1251 0.6250  6 Fe 2.32
Fe 0.6250 0.6250 0.1251  6 Fe 2.32
Fe 0.6250 0.6250 0.6250  6 Fe 2.32
Si 0.2500 0.2500 0.2500  12 Fe 2.72, 4 Mn 2.85


2.
Here is a relaxed MgZnTcSeO crystal from Alexandria via LeMat-Bulk. Energies are from GGA-PBE.

Results
crystal system: monoclinic
energy: -0.1827 hartree per atom
offset from the most stable computed form: 395.0 meV per atom

Lattice parameters (Å, degrees): 8.9849 3.1898 6.3627 90.00 104.45 90.00
With the nearest neighbours (Å) after each atom.
Fractional coordinates of all 10 atoms:
Mg 0.0000 0.0000 0.0000  2 O 1.96
Mg 0.5000 0.5000 0.0000  2 O 1.96
Zn 0.3743 0.0000 0.3736  1 O 2.07
Zn 0.8742 0.5000 0.3736  1 O 2.07
Tc 0.1821 0.5000 0.4919  1 O 2.09
Tc 0.6821 0.0000 0.4919  1 O 2.09
Se 0.2271 0.0000 0.7952  2 Tc 2.46, 1 Mg 2.68
Se 0.7271 0.5000 0.7952  2 Tc 2.46, 1 Mg 2.68
O 0.0310 0.5000 0.1837  2 Mg 1.96, 1 Zn 2.07, 1 Tc 2.09
O 0.5310 0.0000 0.1837  2 Mg 1.96, 1 Zn 2.07, 1 Tc 2.09


3.
Here is a relaxed CaPmZnIr crystal from Alexandria via LeMat-Bulk. Energies are from GGA-PBE.

Results
crystal system: cubic
energy: -0.1692 hartree per atom
offset from the most stable computed form: 89.7 meV per atom

Lattice parameters (Å, degrees): 7.0820 7.0820 7.0820 90.00 90.00 90.00
With the nearest neighbours (Å) after each atom.
Fractional coordinates of all 16 atoms:
Ca 0.0000 0.0000 0.0000  4 Zn 3.07, 4 Ir 3.07
Ca 0.0000 0.5000 0.5000  4 Zn 3.07, 4 Ir 3.07
Ca 0.5000 0.0000 0.5000  4 Zn 3.07, 4 Ir 3.07
Ca 0.5000 0.5000 0.0000  4 Zn 3.07, 4 Ir 3.07
Pm 0.0000 0.0000 0.5000  4 Ir 3.07, 4 Zn 3.07
Pm 0.0000 0.5000 0.0000  4 Ir 3.07, 4 Zn 3.07
Pm 0.5000 0.0000 0.0000  4 Ir 3.07, 4 Zn 3.07
Pm 0.5000 0.5000 0.5000  4 Ir 3.07, 4 Zn 3.07
Zn 0.2500 0.2500 0.2500  4 Ca 3.07, 4 Pm 3.07
Zn 0.2500 0.7500 0.7500  4 Ca 3.07, 4 Pm 3.07
Zn 0.7500 0.2500 0.7500  4 Ca 3.07, 4 Pm 3.07
Zn 0.7500 0.7500 0.2500  4 Ca 3.07, 4 Pm 3.07
Ir 0.2500 0.2500 0.7500  4 Ca 3.07, 4 Pm 3.07
Ir 0.2500 0.7500 0.2500  4 Ca 3.07, 4 Pm 3.07
Ir 0.7500 0.2500 0.2500  4 Ca 3.07, 4 Pm 3.07
Ir 0.7500 0.7500 0.7500  4 Ca 3.07, 4 Pm 3.07


4.
Here is a relaxed LiZrSe2 crystal from Alexandria via LeMat-Bulk. Energies are from GGA-PBE.

Results
crystal system: trigonal
energy: -0.2081 hartree per atom

Lattice parameters (Å, degrees): 3.7390 3.7390 20.8215 90.00 90.00 120.00
With the nearest neighbours (Å) after each atom.
Fractional coordinates of all 12 atoms:
Li 0.0000 0.0000 0.0000  6 Se 2.79-2.80
Li 0.3333 0.6667 0.6667  6 Se 2.79-2.80
Li 0.6667 0.3333 0.3333  6 Se 2.79-2.80
Zr 0.0000 0.0000 0.8333  6 Se 2.74-2.75
Zr 0.3333 0.6667 0.4999  6 Se 2.74-2.75
Zr 0.6667 0.3333 0.1666  6 Se 2.74-2.75
Se 0.0000 0.0000 0.2478  3 Zr 2.74, 3 Li 2.80
Se 0.0000 0.0000 0.4184  3 Zr 2.75, 3 Li 2.79
Se 0.3333 0.6667 0.0851  3 Zr 2.75, 3 Li 2.79
Se 0.3333 0.6667 0.9145  3 Zr 2.74, 3 Li 2.80
Se 0.6667 0.3333 0.5811  3 Zr 2.74, 3 Li 2.80
Se 0.6667 0.3333 0.7518  3 Zr 2.75, 3 Li 2.79


5.
Here is a relaxed Fe3Au crystal from Alexandria via LeMat-Bulk. Energies are from GGA-PBE.

Results
crystal system: monoclinic
energy: -0.2579 hartree per atom

Lattice parameters (Å, degrees): 2.6592 3.7958 5.4164 90.00 96.45 90.00
With the nearest neighbours (Å) after each atom.
Fractional coordinates of all 4 atoms:
Fe 0.0000 0.0000 0.0000  10 Fe 2.47-2.76, 2 Au 2.71
Fe 0.4464 0.5000 0.2206  5 Fe 2.44-2.66
Fe 0.5536 0.5000 0.7794  5 Fe 2.44-2.66
Au 0.0000 0.0000 0.5000  2 Au 2.66, 10 Fe 2.71-2.78


6.
Here is a relaxed Pm3Al4Pd2 crystal from Alexandria via LeMat-Bulk. Energies are from GGA-PBE.

Results
crystal system: monoclinic
energy: -0.1863 hartree per atom
offset from the most stable computed form: 0.0 meV per atom

Lattice parameters (Å, degrees): 5.9646 5.9646 8.7219 110.99 110.99 44.15
With the nearest neighbours (Å) after each atom.
Fractional coordinates of all 9 atoms:
Pm 0.0000 0.0000 0.0000  8 Al 3.03-3.34, 4 Pd 3.10
Pm 0.3189 0.3189 0.3571  3 Pd 3.05-3.20, 7 Al 3.14-3.33
Pm 0.6811 0.6811 0.6429  3 Pd 3.05-3.20, 7 Al 3.14-3.33
Al 0.0178 0.0178 0.3559  2 Pd 2.63, 1 Al 2.69
Al 0.2588 0.2588 0.9177  1 Pd 2.67, 2 Al 2.71
Al 0.7412 0.7412 0.0823  1 Pd 2.67, 2 Al 2.71
Al 0.9822 0.9822 0.6441  2 Pd 2.63, 1 Al 2.69
Pd 0.4040 0.4040 0.7345  3 Al 2.63-2.67
Pd 0.5960 0.5960 0.2655  3 Al 2.63-2.67


7.
Here is a relaxed Np3TlO8 crystal from Alexandria via LeMat-Bulk. Energies are from GGA-PBE.

Results
crystal system: trigonal
energy: -0.3404 hartree per atom

Lattice parameters (Å, degrees): 7.9458 7.9458 7.9458 51.56 51.56 51.56
With the nearest neighbours (Å) after each atom.
Fractional coordinates of all 12 atoms:
Np 0.0000 0.5000 0.5000  6 O 2.12-2.25
Np 0.5000 0.0000 0.5000  6 O 2.12-2.25
Np 0.5000 0.5000 0.0000  6 O 2.12-2.25
Tl 0.5000 0.5000 0.5000  6 O 2.95
O 0.2416 0.2416 0.6638  2 Np 2.12
O 0.2416 0.6638 0.2416  2 Np 2.12
O 0.2825 0.2825 0.2825  3 Np 2.25
O 0.3362 0.7584 0.7584  2 Np 2.12
O 0.6638 0.2416 0.2416  2 Np 2.12
O 0.7175 0.7175 0.7175  3 Np 2.25
O 0.7584 0.3362 0.7584  2 Np 2.12
O 0.7584 0.7584 0.3362  2 Np 2.12


8.
Here is a relaxed HfGeTe2N crystal from Alexandria via LeMat-Bulk. Energies are from GGA-PBE.

Results
crystal system: tetragonal
energy: -0.1930 hartree per atom
offset from the most stable computed form: 499.3 meV per atom

Lattice parameters (Å, degrees): 5.5547 5.5547 3.5603 90.00 90.00 90.00
With the nearest neighbours (Å) after each atom.
Fractional coordinates of all 5 atoms:
Hf 0.0000 0.0000 0.0000  8 Te 3.30, 2 Hf 3.56
Ge 0.5000 0.5000 0.5000  2 N 1.78
Te 0.0000 0.5000 0.5000  2 Ge 2.78
Te 0.5000 0.0000 0.5000  2 Ge 2.78
N 0.5000 0.5000 0.0000  2 Ge 1.78


9.
Here is a relaxed CsRbCdBr crystal from Alexandria via LeMat-Bulk. Energies are from GGA-PBE.

Results
crystal system: cubic
energy: -0.0648 hartree per atom

Lattice parameters (Å, degrees): 9.0939 9.0939 9.0939 90.00 90.00 90.00
With the nearest neighbours (Å) after each atom.
Fractional coordinates of all 16 atoms:
Cs 0.0000 0.0000 0.0000  4 Cd 3.94, 4 Br 3.94
Cs 0.0000 0.5000 0.5000  4 Cd 3.94, 4 Br 3.94
Cs 0.5000 0.0000 0.5000  4 Cd 3.94, 4 Br 3.94
Cs 0.5000 0.5000 0.0000  4 Cd 3.94, 4 Br 3.94
Rb 0.0000 0.0000 0.5000  4 Br 3.94, 4 Cd 3.94
Rb 0.0000 0.5000 0.0000  4 Br 3.94, 4 Cd 3.94
Rb 0.5000 0.0000 0.0000  4 Br 3.94, 4 Cd 3.94
Rb 0.5000 0.5000 0.5000  4 Br 3.94, 4 Cd 3.94
Cd 0.2500 0.2500 0.7500  4 Rb 3.94, 4 Cs 3.94
Cd 0.2500 0.7500 0.2500  4 Rb 3.94, 4 Cs 3.94
Cd 0.7500 0.2500 0.2500  4 Rb 3.94, 4 Cs 3.94
Cd 0.7500 0.7500 0.7500  4 Cs 3.94, 4 Rb 3.94
Br 0.2500 0.2500 0.2500  4 Rb 3.94, 4 Cs 3.94
Br 0.2500 0.7500 0.7500  4 Rb 3.94, 4 Cs 3.94
Br 0.7500 0.2500 0.7500  4 Rb 3.94, 4 Cs 3.94
Br 0.7500 0.7500 0.2500  4 Rb 3.94, 4 Cs 3.94


10.
Here is a relaxed CrTc2Ru crystal from Alexandria via LeMat-Bulk. Energies are from GGA-PBE.

Results
crystal system: monoclinic
energy: -0.3598 hartree per atom
offset from the most stable computed form: 11.1 meV per atom

Lattice parameters (Å, degrees): 8.9008 2.7097 4.6649 90.00 100.55 90.00
With the nearest neighbours (Å) after each atom.
Fractional coordinates of all 8 atoms:
Cr 0.0000 0.0000 0.0000  3 Ru 2.62-2.70, 7 Tc 2.66-2.74, 2 Cr 2.71
Cr 0.5000 0.5000 0.0000  3 Ru 2.62-2.70, 7 Tc 2.66-2.74, 2 Cr 2.71
Tc 0.0039 0.5000 0.5110  5 Tc 2.66-2.75, 4 Cr 2.66-2.74, 3 Ru 2.69-2.70
Tc 0.2458 0.5000 0.2517  4 Ru 2.65-2.74, 5 Tc 2.66-2.75, 3 Cr 2.66-2.73
Tc 0.5039 0.0000 0.5110  5 Tc 2.66-2.75, 4 Cr 2.66-2.74, 3 Ru 2.69-2.70
Tc 0.7458 0.0000 0.2517  4 Ru 2.65-2.74, 5 Tc 2.66-2.75, 3 Cr 2.66-2.73
Ru 0.2559 0.0000 0.7662  3 Cr 2.62-2.70, 7 Tc 2.65-2.74, 2 Ru 2.71
Ru 0.7559 0.5000 0.7662  3 Cr 2.62-2.70, 7 Tc 2.65-2.74, 2 Ru 2.71


11.
Here is a relaxed InBPO2 crystal from Alexandria via LeMat-Bulk. Energies are from GGA-PBE.

Results
crystal system: tetragonal
energy: -0.1464 hartree per atom
offset from the most stable computed form: 895.8 meV per atom

Lattice parameters (Å, degrees): 3.9377 3.9377 5.5560 90.00 90.00 90.00
With the nearest neighbours (Å) after each atom.
Fractional coordinates of all 5 atoms:
In 0.0000 0.0000 0.0000  4 O 1.97
B 0.5000 0.5000 0.5000  4 P 2.78
P 0.0000 0.0000 0.5000  2 In 2.78, 4 B 2.78
O 0.0000 0.5000 0.0000  2 In 1.97
O 0.5000 0.0000 0.0000  2 In 1.97


12.
Here is a relaxed CaThIn2 crystal from Alexandria via LeMat-Bulk. Energies are from GGA-PBE.

Results
crystal system: trigonal
energy: -0.1447 hartree per atom

Lattice parameters (Å, degrees): 3.5743 3.5743 32.1016 90.00 90.00 120.00
With the nearest neighbours (Å) after each atom.
Fractional coordinates of all 12 atoms:
Ca 0.0000 0.0000 0.0000  6 In 3.32, 6 Ca 3.57
Ca 0.3333 0.6667 0.6667  6 In 3.32, 6 Ca 3.57
Ca 0.6667 0.3333 0.3333  6 In 3.32, 6 Ca 3.57
Th 0.0000 0.0000 0.5000  6 In 3.44, 6 Th 3.57
Th 0.3333 0.6667 0.1667  6 In 3.44, 6 Th 3.57
Th 0.6667 0.3333 0.8333  6 In 3.44, 6 Th 3.57
In 0.0000 0.0000 0.2524  3 Ca 3.32, 3 Th 3.44, 6 In 3.57
In 0.0000 0.0000 0.7476  3 Ca 3.32, 3 Th 3.44, 6 In 3.57
In 0.3333 0.6667 0.4143  3 Ca 3.32, 3 Th 3.44, 6 In 3.57
In 0.3333 0.6667 0.9190  3 Ca 3.32, 3 Th 3.44, 6 In 3.57
In 0.6667 0.3333 0.0810  3 Ca 3.32, 3 Th 3.44, 6 In 3.57
In 0.6667 0.3333 0.5857  3 Ca 3.32, 3 Th 3.44, 6 In 3.57


Copy entry 7 word for word.
Here is a relaxed Np3TlO8 crystal from Alexandria via LeMat-Bulk. Energies are from GGA-PBE.

Results
crystal system: trigonal
energy: -0.3404 hartree per atom

Lattice parameters (Å, degrees): 7.9458 7.9458 7.9458 51.56 51.56 51.56
With the nearest neighbours (Å) after each atom.
Fractional coordinates of all 12 atoms:
Np 0.0000 0.5000 0.5000  6 O 2.12-2.25
Np 0.5000 0.0000 0.5000  6 O 2.12-2.25
Np 0.5000 0.5000 0.0000  6 O 2.12-2.25
Tl 0.5000 0.5000 0.5000  6 O 2.95
O 0.2416 0.2416 0.6638  2 Np 2.12
O 0.2416 0.6638 0.2416  2 Np 2.12
O 0.2825 0.2825 0.2825  3 Np 2.25
O 0.3362 0.7584 0.7584  2 Np 2.12
O 0.6638 0.2416 0.2416  2 Np 2.12
O 0.7175 0.7175 0.7175  3 Np 2.25
O 0.7584 0.3362 0.7584  2 Np 2.12
O 0.7584 0.7584 0.3362  2 Np 2.12


> What is the energy in the tenth record?

-0.3598 hartree per atom